(1)
# BaC2, single point on PBEsol structure, DFT SCAN
data_BaC2
_chemical_formula_sum 'Ba4 C8'
_symmetry_space_group_name_H-M 'I 4/m c m'
_symmetry_Int_Tables_number 140
_symmetry_space_group_name_Hall '-I 4 2c'
_cell_length_a 5.653
_cell_length_b 5.653
_cell_length_c 7.273
_cell_angle_alpha 90.00
_cell_angle_beta 90.00
_cell_angle_gamma 90.00
loop_
_atom_site_label
_atom_site_type_symbol
_atom_site_fract_x
_atom_site_fract_y
_atom_site_fract_z
Ba1 Ba 0.000 0.000 0.250
C1 C 0.079 0.421 0.000
# Energy of formation   9.5 kJ/mol of atoms
# Total magnetic moment   0.00 μB/cell
# DFT total energy   -19.818 eV per atom

(2)
# BaC2, single point on PBEsol structure, DFT SCAN
data_BaC2
_chemical_formula_sum 'Ba2 C4'
_symmetry_space_group_name_H-M 'I 4/m m m'
_symmetry_Int_Tables_number 139
_symmetry_space_group_name_Hall '-I 4 2'
_cell_length_a 2.960
_cell_length_b 2.960
_cell_length_c 9.833
_cell_angle_alpha 90.00
_cell_angle_beta 90.00
_cell_angle_gamma 90.00
loop_
_atom_site_label
_atom_site_type_symbol
_atom_site_fract_x
_atom_site_fract_y
_atom_site_fract_z
Ba1 Ba 0.000 0.000 0.000
C1 C 0.000 0.000 0.279
# Energy of formation   240.6 kJ/mol of atoms
# Total magnetic moment   0.00 μB/cell
# DFT total energy   -17.423 eV per atom

- Look up the energy of formation of the second one.
  240.6 kJ/mol of atoms